1.
Computed, not measured: a relaxed structure of CaRhPbO6 at the GGA-PBE level of DFT.

abc: 5.5131 5.5131 9.7430
angles: 90.00 90.00 120.00
Closest atoms and distances in Å follow each position.
Space group P-31c (No. 163)
Symmetry-distinct sites (fractional):
Ca 0.0000 0.0000 0.0000  6 O 2.40
Rh 0.3333 0.6667 0.2500  6 O 1.96
Pb 0.3333 0.6667 0.7500  6 O 2.21
O 0.0349 0.3793 0.1363  1 Rh 1.96

total magnetic moment	4.62	μB/cell
VASP energy	-5.867	eV per atom
V	14.247	A^3/atom
formation energy from raw total energies	-1.1103	eV/atom

=====

2.
Computed, not measured: a relaxed structure of CaRhPbO2 at the GGA-PBE level of DFT.

abc: 4.3684 4.3684 5.1237
angles: 90.00 90.00 90.00
Closest atoms and distances in Å follow each position.
Space group P4/mmm (No. 123)
Symmetry-distinct sites (fractional):
Ca 0.0000 0.0000 0.0000  4 Rh 3.09, 8 O 3.37
Rh 0.5000 0.5000 0.0000  2 Pb 2.56
Pb 0.5000 0.5000 0.5000  4 O 2.18
O 0.0000 0.5000 0.5000  2 Pb 2.18

total magnetic moment	0.00	μB/cell
VASP energy	-4.876	eV per atom
V	19.555	A^3/atom
formation energy from raw total energies	-0.2804	eV/atom